[1]
VASP calculation (PBE-GGA) on a geometry-optimized K2NaCe structure.

Cell: 3.759 3.759 14.841 Å, 82.73 82.73 60.00°
Atoms (fractional coordinates):
K 0.915 0.915 0.256
K 0.085 0.085 0.744
Na 0.500 0.500 0.500
Ce 0.000 0.000 0.000

Its energy of formation from the pure elements is 0.40 eV per atom. As for the space-group type: No. 166. The calculation puts the spin magnetization at 1.62 μB per formula unit.

[2]
VASP calculation (PBE-GGA) on a geometry-optimized TiZn2Br structure.

Cell: 7.916 7.916 6.189 Å, 50.24 50.24 90.00°
Atoms (fractional coordinates):
Zn 0.609 0.125 0.250
Zn 0.375 0.391 0.750
Zn 0.875 0.859 0.750
Zn 0.141 0.625 0.250
Ti 0.500 0.500 0.000
Ti 0.250 0.750 0.500
Br 0.750 0.250 0.500
Br 0.000 0.000 0.000

As for the space-group type: No. 122. For the energy above the most stable polymorph in this dataset, the calculation gives 0 meV/atom. The calculation puts the spin magnetization at 1.84 μB per formula unit.

[3]
VASP calculation (PBE-GGA) on a geometry-optimized As2RhAu structure.

Cell: 5.000 5.000 4.643 Å, 78.79 78.79 38.47°
Atoms (fractional coordinates):
As 0.979 0.979 0.062
As 0.754 0.754 0.664
Au 0.505 0.505 0.534
Rh 0.262 0.262 0.240

Its energy of formation from the pure elements is 0.03 eV per atom. As for the space-group type: No. 8. The calculation puts the spin magnetization at 0.00 μB per formula unit.

[4]
VASP calculation (PBE-GGA) on a geometry-optimized Ce5DyPb6 structure.

Cell: 5.930 6.696 9.965 Å, 109.64 107.32 89.98°
Atoms (fractional coordinates):
Ce 0.335 0.835 0.669
Ce 0.000 0.500 0.000
Ce 0.667 0.667 0.335
Ce 0.665 0.165 0.331
Ce 0.333 0.333 0.665
Dy 0.000 0.000 0.000
Pb 0.166 0.414 0.331
Pb 0.834 0.083 0.669
Pb 0.834 0.586 0.669
Pb 0.500 0.753 0.000
Pb 0.500 0.247 0.000
Pb 0.166 0.917 0.331

Its energy of formation from the pure elements is -0.40 eV per atom. As for the space-group type: No. 71. For the energy above the most stable polymorph in this dataset, the calculation gives 0 meV/atom. The calculation puts the spin magnetization at 6.05 μB per formula unit.

[5]
VASP calculation (PBE-GGA) on a geometry-optimized Mg2Cu2Tc structure.

Cell: 7.378 7.378 2.744 Å, 90.00 90.00 90.00°
Atoms (fractional coordinates):
Mg 0.822 0.322 0.500
Mg 0.678 0.822 0.500
Mg 0.178 0.678 0.500
Mg 0.322 0.178 0.500
Cu 0.881 0.619 0.000
Cu 0.619 0.119 0.000
Cu 0.381 0.881 0.000
Cu 0.119 0.381 0.000
Tc 0.000 0.000 0.000
Tc 0.500 0.500 0.000

Its energy of formation from the pure elements is 0.22 eV per atom. As for the space-group type: No. 127. The calculation puts the spin magnetization at 0.00 μB per formula unit.

[6]
VASP calculation (PBE-GGA) on a geometry-optimized CsTl2NiCl5 structure.

Cell: 8.728 8.728 9.649 Å, 116.89 116.89 90.00°
Atoms (fractional coordinates):
Ni 0.750 0.250 0.500
Ni 0.250 0.750 0.500
Cl 0.285 0.785 0.298
Cl 0.500 0.500 0.000
Cl 0.000 0.000 0.000
Cl 0.514 0.285 0.298
Cl 0.215 0.986 0.702
Cl 0.715 0.215 0.702
Cl 0.986 0.486 0.702
Cl 0.014 0.514 0.298
Cl 0.785 0.014 0.298
Cl 0.486 0.715 0.702
Cs 0.750 0.750 0.500
Cs 0.250 0.250 0.500
Tl 0.170 0.330 0.000
Tl 0.830 0.670 0.000
Tl 0.670 0.170 0.000
Tl 0.330 0.830 0.000

The total energy comes out at -3.360 eV/atom. As for the space-group type: No. 140. The calculation puts the spin magnetization at 2.00 μB per formula unit.

[7]
VASP calculation (PBE-GGA) on a geometry-optimized Y2CdRh structure.

Cell: 4.584 3.834 5.797 Å, 70.79 90.00 90.00°
Atoms (fractional coordinates):
Y 0.000 0.985 0.905
Y 0.500 0.273 0.329
Rh 0.500 0.541 0.795
Cd 0.000 0.702 0.471

Its energy of formation from the pure elements is -0.50 eV per atom. As for the space-group type: No. 6. The calculation puts the spin magnetization at 0.00 μB per formula unit.

[8]
VASP calculation (PBE-GGA) on a geometry-optimized Sr3Cu6Sb5 structure.

Cell: 4.410 10.914 13.160 Å, 90.00 90.00 90.00°
Atoms (fractional coordinates):
Cu 0.500 0.380 0.826
Cu 0.500 0.997 0.333
Cu 0.000 0.997 0.500
Cu 0.500 0.488 0.000
Cu 0.500 0.997 0.667
Cu 0.000 0.003 0.167
Cu 0.000 0.620 0.326
Cu 0.500 0.380 0.174
Cu 0.000 0.620 0.674
Cu 0.000 0.512 0.500
Cu 0.000 0.003 0.833
Cu 0.500 0.003 0.000
Sb 0.000 0.862 0.669
Sb 0.500 0.133 0.500
Sb 0.500 0.492 0.365
Sb 0.000 0.508 0.135
Sb 0.500 0.138 0.169
Sb 0.500 0.138 0.831
Sb 0.000 0.862 0.331
Sb 0.000 0.508 0.865
Sb 0.000 0.867 0.000
Sb 0.500 0.492 0.635
Sr 0.500 0.748 0.165
Sr 0.000 0.252 0.665
Sr 0.000 0.252 0.335
Sr 0.000 0.237 0.000
Sr 0.500 0.763 0.500
Sr 0.500 0.748 0.835

The total energy comes out at -4.036 eV/atom. As for the space-group type: No. 59. The calculation puts the spin magnetization at 0.00 μB per formula unit.

[9]
VASP calculation (PBE-GGA) on a geometry-optimized Na2Ag2Pd structure.

Cell: 4.724 4.768 5.662 Å, 66.14 65.35 60.31°
Atoms (fractional coordinates):
Na 0.802 0.803 0.593
Na 0.198 0.197 0.407
Pd 0.000 0.000 0.000
Ag 0.387 0.389 0.837
Ag 0.613 0.611 0.163

Its energy of formation from the pure elements is -0.05 eV per atom. As for the space-group type: No. 12. For the energy above the most stable polymorph in this dataset, the calculation gives 2 meV/atom. The calculation puts the spin magnetization at 0.00 μB per formula unit.

[10]
VASP calculation (PBE-GGA) on a geometry-optimized GaP3C structure.

Cell: 4.637 4.637 4.637 Å, 90.00 90.00 90.00°
Atoms (fractional coordinates):
P 0.000 0.500 0.000
P 0.000 0.000 0.500
P 0.500 0.000 0.000
C 0.500 0.500 0.500
Ga 0.000 0.000 0.000

Its energy of formation from the pure elements is 2.27 eV per atom. As for the space-group type: No. 221. For the energy above the most stable polymorph in this dataset, the calculation gives 1192 meV/atom. The calculation puts the spin magnetization at 0.13 μB per formula unit.

[11]
VASP calculation (PBE-GGA) on a geometry-optimized Ac2PuSi3 structure.

Cell: 4.976 8.553 8.553 Å, 115.32 90.00 90.00°
Atoms (fractional coordinates):
Ac 0.250 0.466 0.179
Ac 0.250 0.179 0.466
Ac 0.750 0.821 0.534
Ac 0.750 0.534 0.821
Si 0.500 0.820 0.180
Si 0.250 0.601 0.601
Si 0.750 0.399 0.399
Si 0.000 0.180 0.820
Si 0.000 0.820 0.180
Si 0.500 0.180 0.820
Pu 0.750 0.080 0.080
Pu 0.250 0.920 0.920

The total energy comes out at -6.829 eV/atom. As for the space-group type: No. 63. The calculation puts the spin magnetization at 5.32 μB per formula unit.

[12]
VASP calculation (PBE-GGA) on a geometry-optimized BC2 structure.

Cell: 2.569 4.520 6.564 Å, 91.56 90.00 90.00°
Atoms (fractional coordinates):
C 0.000 0.989 0.993
C 0.500 0.514 0.994
C 0.500 0.173 0.656
C 0.000 0.666 0.677
C 0.000 0.665 0.917
C 0.500 0.826 0.601
C 0.000 0.336 0.582
C 0.000 0.357 0.346
B 0.500 0.839 0.365
B 0.500 0.444 0.230
B 0.500 0.167 0.908
B 0.000 0.025 0.230

Its energy of formation from the pure elements is 0.33 eV per atom. As for the space-group type: No. 6. For the energy above the most stable polymorph in this dataset, the calculation gives 95 meV/atom. The calculation puts the spin magnetization at 0.00 μB per formula unit.

[13]
VASP calculation (PBE-GGA) on a geometry-optimized KScCd2 structure.

Cell: 6.728 6.728 6.728 Å, 151.32 130.50 58.21°
Atoms (fractional coordinates):
Cd 0.994 0.994 0.000
Cd 0.778 0.278 0.500
Sc 0.216 0.716 0.500
K 0.512 0.512 0.000

Its energy of formation from the pure elements is 0.10 eV per atom. As for the space-group type: No. 44. For the energy above the most stable polymorph in this dataset, the calculation gives 170 meV/atom. The calculation puts the spin magnetization at 0.00 μB per formula unit.

[14]
VASP calculation (PBE-GGA) on a geometry-optimized CsZrBe2F8 structure.

Cell: 5.164 5.164 9.138 Å, 73.59 73.59 60.00°
Atoms (fractional coordinates):
F 0.798 0.798 0.607
F 0.240 0.021 0.151
F 0.021 0.588 0.151
F 0.202 0.202 0.393
F 0.760 0.979 0.849
F 0.979 0.412 0.849
F 0.412 0.760 0.849
F 0.588 0.240 0.151
Zr 0.000 0.000 0.000
Be 0.260 0.260 0.220
Be 0.740 0.740 0.780
Cs 0.500 0.500 0.500

The total energy comes out at -5.867 eV/atom. As for the space-group type: No. 148. The calculation puts the spin magnetization at 1.00 μB per formula unit.

[15]
VASP calculation (PBE-GGA) on a geometry-optimized SbAs2W structure.

Cell: 3.249 4.718 4.955 Å, 90.00 90.00 90.00°
Atoms (fractional coordinates):
W 0.000 0.500 0.500
Sb 0.500 0.000 0.500
As 0.500 0.500 0.000
As 0.000 0.000 0.000

The total energy comes out at -5.835 eV/atom. As for the space-group type: No. 47. The calculation puts the spin magnetization at 0.00 μB per formula unit.

[16]
VASP calculation (PBE-GGA) on a geometry-optimized RbCd2Ni2 structure.

Cell: 8.351 8.351 2.912 Å, 90.00 90.00 90.00°
Atoms (fractional coordinates):
Ni 0.840 0.340 0.500
Ni 0.340 0.160 0.500
Ni 0.660 0.840 0.500
Ni 0.160 0.660 0.500
Cd 0.370 0.870 0.000
Cd 0.870 0.630 0.000
Cd 0.630 0.130 0.000
Cd 0.130 0.370 0.000
Rb 0.000 0.000 0.000
Rb 0.500 0.500 0.000

Its energy of formation from the pure elements is 0.35 eV per atom. As for the space-group type: No. 127. For the energy above the most stable polymorph in this dataset, the calculation gives 44 meV/atom. The calculation puts the spin magnetization at 0.00 μB per formula unit.

[17]
VASP calculation (PBE-GGA) on a geometry-optimized CrCuRe2 structure.

Cell: 4.630 4.630 4.630 Å, 131.77 131.77 70.59°
Atoms (fractional coordinates):
Re 0.250 0.750 0.500
Re 0.000 0.000 0.000
Cu 0.750 0.250 0.500
Cr 0.500 0.500 0.000

Its energy of formation from the pure elements is 0.22 eV per atom. As for the space-group type: No. 119. For the energy above the most stable polymorph in this dataset, the calculation gives 0 meV/atom. The calculation puts the spin magnetization at 0.50 μB per formula unit.

[18]
VASP calculation (PBE-GGA) on a geometry-optimized Pu2Hg2Sb structure.

Cell: 5.075 5.075 6.744 Å, 90.05 90.05 60.25°
Atoms (fractional coordinates):
Hg 0.169 0.669 0.364
Hg 0.831 0.331 0.636
Pu 0.166 0.666 0.836
Pu 0.834 0.334 0.164
Sb 0.500 0.000 0.000

The total energy comes out at -6.882 eV/atom. As for the space-group type: No. 12. The calculation puts the spin magnetization at 11.94 μB per formula unit.

[19]
VASP calculation (PBE-GGA) on a geometry-optimized Ba5LiGa6 structure.

Cell: 8.617 6.892 8.363 Å, 65.66 79.25 63.08°
Atoms (fractional coordinates):
Ga 0.277 0.074 0.000
Ga 0.825 0.971 0.284
Ga 0.175 0.029 0.716
Ga 0.825 0.255 0.716
Ga 0.723 0.926 0.000
Ga 0.175 0.745 0.284
Ba 0.500 0.500 0.000
Ba 0.500 0.192 0.616
Ba 0.000 0.645 0.709
Ba 0.000 0.355 0.291
Ba 0.500 0.808 0.384
Li 0.000 0.000 0.000

Its energy of formation from the pure elements is -0.29 eV per atom. As for the space-group type: No. 12. The calculation puts the spin magnetization at 0.00 μB per formula unit.

[20]
VASP calculation (PBE-GGA) on a geometry-optimized In2TeAs structure.

Cell: 6.484 6.160 3.106 Å, 75.01 83.30 114.40°
Atoms (fractional coordinates):
As 0.500 0.000 0.500
In 0.000 0.000 0.000
In 0.000 0.500 0.500
Te 0.500 0.500 0.000

As for the space-group type: No. 12. For the energy above the most stable polymorph in this dataset, the calculation gives 302 meV/atom. The calculation puts the spin magnetization at 0.00 μB per formula unit.